A relaxed Cu2GeTe3 crystal. Source: Alexandria, functional PBEsol.

Summary:
The space-group type is Cc. Its energy above the most stable polymorph in this dataset is 1.7 kJ/mol of formula units. The calculation puts the total moment at 0.000 μB per formula unit. The density of states at the Fermi level comes out at 1.72 states/eV/cell. The calculated total energy is -4.081 eV per atom. Its uncorrected formation energy is -0.050 eV per atom.

```
12
Lattice="7.260 -0.007 -0.002 -3.631 6.287 -0.002 -1.209 -2.092 6.877" Properties=species:S:1:pos:R:3 pbc="T T T"
Te -3.552 4.282 4.299
Te -0.107 2.065 4.239
Cu 6.019 -0.062 3.389
Cu -1.179 4.203 3.412
Cu -3.663 4.138 6.828
Ge 1.189 4.241 0.067
Te 6.088 0.106 0.860
Te 2.447 1.984 0.801
Cu 3.626 0.031 6.851
Ge 2.477 2.102 3.505
Te 3.669 -0.078 4.334
Te -1.295 4.186 0.896
```